Computed, not measured: a relaxed structure of K3Cd2WO6 at the PBE with a Hubbard U level of DFT.

DFT total energy in eV per atom: -5.05
Magnetization in μB/f.u.: 1.0

a b c (Å): 5.949 5.949 6.400
angles (deg): 98.52 98.52 121.30
Atoms (fractional coordinates):
K  0.000  0.000  0.000
K  0.325  0.675  0.000
K  0.675  0.325  0.000
Cd  0.172  0.828  0.500
Cd  0.828  0.172  0.500
W  0.500  0.500  0.500
O  0.142  0.435  0.312
O  0.286  0.286  0.688
O  0.435  0.142  0.312
O  0.565  0.858  0.688
O  0.714  0.714  0.312
O  0.858  0.565  0.688